The following is a DFT calculation (PBE) of crystalline Rb3As2P at its relaxed geometry.

abc: 4.540 14.202 13.394
angles: 90.00 90.00 90.00
Sites, in units of the cell vectors:
1 Rb 0.250 0.112 0.596
2 Rb 0.750 0.945 0.108
3 Rb 0.250 0.445 0.392
4 As 0.250 0.685 0.414
5 As 0.250 0.815 0.914
6 Rb 0.750 0.888 0.404
7 Rb 0.250 0.703 0.166
8 P 0.250 0.372 0.644
9 As 0.750 0.967 0.718
10 Rb 0.250 0.055 0.892
11 As 0.750 0.185 0.086
12 As 0.250 0.033 0.282
13 Rb 0.750 0.612 0.904
14 Rb 0.750 0.203 0.334
15 Rb 0.750 0.297 0.834
16 As 0.750 0.533 0.218
17 As 0.250 0.467 0.782
18 Rb 0.750 0.555 0.608
19 Rb 0.250 0.797 0.666
20 As 0.750 0.315 0.586
21 P 0.750 0.872 0.856
22 P 0.250 0.128 0.144
23 P 0.750 0.628 0.356
24 Rb 0.250 0.388 0.096

Density, g/cm3: 3.4
Energy of formation from the pure elements, meV/atom: -284

---

The following is a DFT calculation (PBE) of crystalline Rb3AsP at its relaxed geometry.

abc: 6.459 6.459 6.459
angles: 90.00 90.00 90.00
Site moments in Bohr magnetons follow the coordinates.
Sites, in units of the cell vectors:
1 Rb 0.500 0.000 0.000  0.01
2 As 0.500 0.500 0.500  0.71
3 Rb 0.000 0.000 0.500  0.03
4 P 0.000 0.000 0.000  0.46
5 Rb 0.000 0.500 0.000  0.02

Density, g/cm3: 2.2
Energy of formation from the pure elements, meV/atom: 247

---

The following is a DFT calculation (PBE) of crystalline Rb3AsP at its relaxed geometry.

abc: 5.025 12.515 9.723
angles: 130.06 90.00 90.00
Sites, in units of the cell vectors:
1 Rb 0.757 0.547 0.735
2 As 0.757 0.539 0.078
3 P 0.757 0.695 0.390
4 Rb 0.257 0.453 0.265
5 Rb 0.757 0.147 0.294
6 As 0.257 0.461 0.922
7 P 0.257 0.305 0.610
8 Rb 0.257 0.812 0.265
9 Rb 0.757 0.188 0.735
10 Rb 0.257 0.853 0.706

Density, g/cm3: 2.6
Energy of formation from the pure elements, meV/atom: -214

---

- Which value of energy of formation from the pure elements does entry 1 give?
  -284 meV/atom